# 1
Tb3NdEr2Bi6: optimized geometry, PBE.

Computed properties:
total moment = 0.000 μB per atom
electronic total energy = -61.5 eV for the cell shown
volume = 32.162 Å³/atom
formation enthalpy at 0 K = -0.87 eV per atom

Lattice parameters (Å, degrees): 10.054 10.054 8.995 102.90 102.90 25.85
Sites, in units of the cell vectors:
Tb 0.000 0.000 0.000
Tb 0.335 0.335 0.668
Tb 0.665 0.665 0.332
Nd 0.000 0.000 0.500
Er 0.333 0.333 0.166
Er 0.667 0.667 0.834
Bi 0.167 0.167 0.081
Bi 0.169 0.169 0.587
Bi 0.498 0.498 0.244
Bi 0.502 0.502 0.756
Bi 0.831 0.831 0.413
Bi 0.833 0.833 0.919

# 2
NdErBiTe: optimized geometry, PBE.

Computed properties:
total moment = 0.131 μB per atom
electronic total energy = -20.7 eV for the cell shown
ΔE_f (raw) = -104.74 kJ per mole of atoms
volume = 32.017 Å³/atom

Lattice parameters (Å, degrees): 8.125 8.125 8.125 31.25 31.25 31.25
Sites, in units of the cell vectors:
Nd 0.000 0.000 0.000
Er 0.827 0.827 0.827
Bi 0.419 0.419 0.419
Te 0.242 0.242 0.242

# 3
NdEr2ThBi5: optimized geometry, PBE.

Computed properties:
total moment = 0.000 μB per atom
electronic total energy = -38.5 eV for the cell shown
volume = 43.868 Å³/atom
formation enthalpy at 0 K = 0.24 eV per atom

Lattice parameters (Å, degrees): 5.714 5.714 12.093 90.00 90.00 90.00
Sites, in units of the cell vectors:
Nd 0.000 0.000 0.000
Er 0.500 0.500 0.263
Er 0.500 0.500 0.737
Th 0.000 0.000 0.500
Bi 0.000 0.000 0.245
Bi 0.000 0.000 0.755
Bi 0.000 0.500 0.500
Bi 0.500 0.000 0.500
Bi 0.500 0.500 0.000

# 4
Nd2ErTh3Bi6: optimized geometry, PBE.

Computed properties:
total moment = 0.000 μB per atom
electronic total energy = -68.5 eV for the cell shown
volume = 33.890 Å³/atom
formation enthalpy at 0 K = -0.74 eV per atom

Lattice parameters (Å, degrees): 10.237 10.237 9.137 102.79 102.79 25.86
Sites, in units of the cell vectors:
Nd 0.167 0.167 0.333
Nd 0.833 0.833 0.667
Er 0.500 0.500 0.000
Th 0.169 0.169 0.834
Th 0.500 0.500 0.500
Th 0.831 0.831 0.166
Bi 0.001 0.001 0.758
Bi 0.334 0.334 0.417
Bi 0.337 0.337 0.919
Bi 0.663 0.663 0.081
Bi 0.666 0.666 0.583
Bi 0.999 0.999 0.242

# 5
NdEr2ThBi4: optimized geometry, PBE.

Computed properties:
total moment = 0.000 μB per atom
electronic total energy = -43.2 eV for the cell shown
volume = 32.759 Å³/atom
formation enthalpy at 0 K = -0.79 eV per atom

Lattice parameters (Å, degrees): 7.813 4.535 7.847 90.00 109.52 90.00
Sites, in units of the cell vectors:
Nd 0.000 0.000 0.000
Er 0.500 0.000 0.500
Er 0.500 0.500 0.000
Th 0.000 0.500 0.500
Bi 0.261 0.000 0.754
Bi 0.261 0.500 0.254
Bi 0.739 0.000 0.246
Bi 0.739 0.500 0.746

# 6
NdErTlBi: optimized geometry, PBE.

Computed properties:
total moment = 0.000 μB per atom
electronic total energy = -17.3 eV for the cell shown
volume = 29.417 Å³/atom
formation enthalpy at 0 K = -0.42 eV per atom

Lattice parameters (Å, degrees): 5.500 5.500 5.500 60.00 60.00 60.00
Sites, in units of the cell vectors:
Nd 0.000 0.000 0.000
Er 0.500 0.500 0.500
Tl 0.750 0.750 0.750
Bi 0.250 0.250 0.250

# 7
Nd3ErTm2Bi6: optimized geometry, PBE.

Computed properties:
total moment = 0.000 μB per atom
electronic total energy = -61.5 eV for the cell shown
volume = 32.742 Å³/atom
formation enthalpy at 0 K = -0.87 eV per atom

Lattice parameters (Å, degrees): 10.107 10.107 9.042 102.72 102.72 25.89
Sites, in units of the cell vectors:
Nd 0.000 0.000 0.000
Nd 0.333 0.333 0.667
Nd 0.667 0.667 0.333
Er 0.000 0.000 0.500
Tm 0.333 0.333 0.167
Tm 0.667 0.667 0.833
Bi 0.164 0.164 0.590
Bi 0.169 0.169 0.076
Bi 0.497 0.497 0.256
Bi 0.503 0.503 0.744
Bi 0.831 0.831 0.924
Bi 0.836 0.836 0.410

# 8
NdEr2Tm3Bi6: optimized geometry, PBE.

Computed properties:
total moment = 0.000 μB per atom
electronic total energy = -60.4 eV for the cell shown
volume = 31.530 Å³/atom
formation enthalpy at 0 K = -0.82 eV per atom

Lattice parameters (Å, degrees): 9.986 9.986 8.936 102.86 102.86 25.86
Sites, in units of the cell vectors:
Nd 0.000 0.000 0.000
Er 0.333 0.333 0.667
Er 0.667 0.667 0.333
Tm 0.000 0.000 0.500
Tm 0.335 0.335 0.168
Tm 0.665 0.665 0.832
Bi 0.166 0.166 0.583
Bi 0.170 0.170 0.084
Bi 0.499 0.499 0.741
Bi 0.501 0.501 0.259
Bi 0.830 0.830 0.916
Bi 0.834 0.834 0.417